# 1
First-principles (PBE) data for an optimized crystal structure of ErScPbS, as listed in Alexandria.

Values from the calculation:
ΔE_f (raw) (eV per atom): -1.17
Calculated volume (Å³ per cell): 185

```
data_ErScPbS
_cell_length_a 6.345
_cell_length_b 3.691
_cell_length_c 8.162
_cell_angle_alpha 90.00
_cell_angle_beta 104.95
_cell_angle_gamma 90.00
_symmetry_space_group_name_H-M 'C 1 m 1'
_symmetry_Int_Tables_number 8
loop_
_symmetry_equiv_pos_as_xyz
'x,y,z'
'x,-y,z'
'x+1/2,y+1/2,z'
'x+1/2,-y+1/2,z'
loop_
_atom_site_label
_atom_site_type_symbol
_atom_site_fract_x
_atom_site_fract_y
_atom_site_fract_z
Er1 Er 0.000 0.000 0.000
Sc1 Sc 0.297 0.500 0.387
Pb1 Pb 0.229 0.000 0.682
S1 S 0.403 0.000 0.209
```

# 2
First-principles (PBE) data for an optimized crystal structure of Er4PbSe2S, as listed in Alexandria.

Values from the calculation:
ΔE_f (raw) (eV per atom): -1.42
Calculated volume (Å³ per cell): 196

```
data_Er4PbSe2S
_cell_length_a 7.116
_cell_length_b 4.100
_cell_length_c 7.120
_cell_angle_alpha 90.00
_cell_angle_beta 109.42
_cell_angle_gamma 90.00
_symmetry_space_group_name_H-M 'P 1 2/m 1'
_symmetry_Int_Tables_number 10
loop_
_symmetry_equiv_pos_as_xyz
'x,y,z'
'-x,-y,-z'
'-x,y,-z'
'x,-y,z'
loop_
_atom_site_label
_atom_site_type_symbol
_atom_site_fract_x
_atom_site_fract_y
_atom_site_fract_z
Er1 Er 0.241 0.000 0.233
Er2 Er 0.255 0.500 0.766
Pb1 Pb 0.000 0.000 0.500
Se1 Se 0.500 0.000 0.000
Se2 Se 0.500 0.500 0.500
S1 S 0.000 0.500 0.000
```

# 3
First-principles (PBE) data for an optimized crystal structure of Er3PbSeS, as listed in Alexandria.

Values from the calculation:
ΔE_f (raw) (eV per atom): -1.36
Calculated volume (Å³ per cell): 308

```
data_Er3PbSeS
_cell_length_a 7.058
_cell_length_b 4.158
_cell_length_c 10.756
_cell_angle_alpha 90.00
_cell_angle_beta 102.41
_cell_angle_gamma 90.00
_symmetry_space_group_name_H-M 'P 1 21/m 1'
_symmetry_Int_Tables_number 11
loop_
_symmetry_equiv_pos_as_xyz
'x,y,z'
'-x,-y,-z'
'-x,y+1/2,-z'
'x,-y+1/2,z'
loop_
_atom_site_label
_atom_site_type_symbol
_atom_site_fract_x
_atom_site_fract_y
_atom_site_fract_z
Er1 Er 0.048 0.250 0.161
Er2 Er 0.245 0.250 0.508
Er3 Er 0.445 0.750 0.828
Pb1 Pb 0.344 0.750 0.308
Se1 Se 0.237 0.250 0.945
S1 S 0.127 0.750 0.636
```